# 1
This record from Alexandria via LeMat-Bulk describes a relaxed Be2OsRh crystal. The functional is PBE.

The structure belongs to space group R3m (No. 160, hexagonal axes); the cell edges are 2.6714, 2.6714 and 23.8200 Å and the angles 90.00°, 90.00° and 120.00°. The distinct sites, in fractional coordinates, are Be at (0.0000, 0.0000, 0.0000), Be at (0.0000, 0.0000, 0.2486), Os at (0.0000, 0.0000, 0.5027) and Rh at (0.0000, 0.0000, 0.7419).

The value obtained for the total energy is -6.39 eV/atom. Its volume is 12.3 A^3/atom. The relative energy among the computed polymorphs comes out at 429.4 meV per atom. Its crystal system is trigonal. The value obtained for the formation energy is 0.122 eV per atom. The value obtained for the theoretical density is 10.5 g/cm³.

***

# 2
This record from Alexandria via LeMat-Bulk describes a relaxed Be2OsRh crystal. The functional is PBE.

The structure belongs to space group R-3m (No. 166, hexagonal axes); the cell edges are 2.7276, 2.7276 and 21.5975 Å and the angles 90.00°, 90.00° and 120.00°. The distinct sites, in fractional coordinates, are Be at (0.0000, 0.0000, 0.2481), Os at (0.0000, 0.0000, 0.0000) and Rh at (0.0000, 0.0000, 0.5000).

The value obtained for the total energy is -6.67 eV/atom. Its volume is 11.6 A^3/atom. The relative energy among the computed polymorphs comes out at 149.0 meV per atom. Its crystal system is trigonal. The value obtained for the formation energy is -0.158 eV per atom. The value obtained for the theoretical density is 11.1 g/cm³.

***

# 3
This record from Alexandria via LeMat-Bulk describes a relaxed BeOsRh2 crystal. The functional is PBE.

The structure belongs to space group Pmm2 (No. 25); the cell edges are 2.7147, 3.6797 and 5.2848 Å and the angles 90.00°, 90.00° and 90.00°. The distinct sites, in fractional coordinates, are Be at (0.0000, 0.0000, 0.0000), Os at (0.5000, 0.5000, 0.2688), Rh at (0.0000, 0.0000, 0.4977) and Rh at (0.5000, 0.5000, 0.7966).

The value obtained for the total energy is -7.39 eV/atom. Its volume is 13.2 A^3/atom. Its crystal system is orthorhombic. The value obtained for the formation energy is 0.027 eV per atom. The value obtained for the theoretical density is 12.7 g/cm³.

***

# 4
This record from Alexandria via LeMat-Bulk describes a relaxed BeOs3Rh crystal. The functional is PBE.

The structure belongs to space group Pm-3m (No. 221); the cell edges are 4.6498, 4.6498 and 4.6498 Å and the angles 90.00°, 90.00° and 90.00°. The distinct sites, in fractional coordinates, are Be at (0.0000, 0.0000, 0.0000), Os at (0.0000, 0.5000, 0.5000) and Rh at (0.5000, 0.5000, 0.5000).

The value obtained for the total energy is -6.20 eV/atom. Its volume is 20.1 A^3/atom. The relative energy among the computed polymorphs comes out at 2038.8 meV per atom. Its crystal system is cubic. The value obtained for the formation energy is 2.750 eV per atom. The value obtained for the theoretical density is 11.3 g/cm³.

***

# 5
This record from Alexandria via LeMat-Bulk describes a relaxed BeOsRh2 crystal. The functional is PBE.

The structure belongs to space group I-42d (No. 122); the cell edges are 3.6798, 3.6798 and 16.8497 Å and the angles 90.00°, 90.00° and 90.00°. The distinct sites, in fractional coordinates, are Be at (0.0000, 0.0000, 0.0000), Os at (0.0000, 0.0000, 0.5000) and Rh at (0.2367, 0.2500, 0.1250).

The value obtained for the total energy is -6.93 eV/atom. Its volume is 14.3 A^3/atom. Its crystal system is tetragonal. The value obtained for the formation energy is 0.487 eV per atom. The value obtained for the theoretical density is 11.8 g/cm³.

***

# 6
This record from Alexandria via LeMat-Bulk describes a relaxed BeOsRh2 crystal. The functional is PBE.

The structure belongs to space group Immm (No. 71); the cell edges are 2.8416, 4.2745 and 8.2960 Å and the angles 90.00°, 90.00° and 90.00°. The distinct sites, in fractional coordinates, are Be at (0.0000, 0.0000, 0.0000), Os at (0.0000, 0.0000, 0.5000) and Rh at (0.0000, 0.5000, 0.2801).

The value obtained for the total energy is -7.49 eV/atom. Its volume is 12.6 A^3/atom. Its crystal system is orthorhombic. The value obtained for the formation energy is -0.070 eV per atom. The value obtained for the theoretical density is 13.3 g/cm³.

***

# 7
This record from Alexandria via LeMat-Bulk describes a relaxed Be2OsRh crystal. The functional is PBE.

The structure belongs to space group C2/m (No. 12); the cell edges are 5.3618, 7.2830 and 2.6155 Å and the angles 90.00°, 114.37° and 90.00°. The distinct sites, in fractional coordinates, are Be at (0.2500, 0.2500, 0.0000), Os at (0.0000, 0.0000, 0.5000) and Rh at (0.0000, 0.5000, 0.5000).

The value obtained for the total energy is -6.64 eV/atom. Its volume is 11.6 A^3/atom. The relative energy among the computed polymorphs comes out at 178.8 meV per atom. Its crystal system is monoclinic. The value obtained for the formation energy is -0.128 eV per atom. The value obtained for the theoretical density is 11.1 g/cm³.

***

# 8
This record from Alexandria via LeMat-Bulk describes a relaxed Be2OsRh crystal. The functional is PBE.

The structure belongs to space group I-4m2 (No. 119); the cell edges are 3.2536, 3.2536 and 8.5782 Å and the angles 90.00°, 90.00° and 90.00°. The distinct sites, in fractional coordinates, are Be at (0.0000, 0.0000, 0.0000), Be at (0.0000, 0.5000, 0.2500), Os at (0.0000, 0.5000, 0.7500) and Rh at (0.0000, 0.0000, 0.5000).

The value obtained for the total energy is -6.59 eV/atom. Its volume is 11.4 A^3/atom. The relative energy among the computed polymorphs comes out at 227.5 meV per atom. Its crystal system is tetragonal. The value obtained for the formation energy is -0.080 eV per atom. The value obtained for the theoretical density is 11.4 g/cm³.

***

# 9
This record from Alexandria via LeMat-Bulk describes a relaxed BeOsRh2 crystal. The functional is PBE.

The structure belongs to space group I-4m2 (No. 119); the cell edges are 3.7176, 3.7176 and 7.5824 Å and the angles 90.00°, 90.00° and 90.00°. The distinct sites, in fractional coordinates, are Be at (0.0000, 0.0000, 0.0000), Os at (0.0000, 0.5000, 0.7500), Rh at (0.0000, 0.0000, 0.5000) and Rh at (0.0000, 0.5000, 0.2500).

The value obtained for the total energy is -7.38 eV/atom. Its volume is 13.1 A^3/atom. Its crystal system is tetragonal. The value obtained for the formation energy is 0.036 eV per atom. The value obtained for the theoretical density is 12.8 g/cm³.

***

# 10
This record from Alexandria via LeMat-Bulk describes a relaxed BeOsRh2 crystal. The functional is PBE.

The structure belongs to space group Pmmm (No. 47); the cell edges are 2.7596, 4.3780 and 4.3936 Å and the angles 90.00°, 90.00° and 90.00°. The distinct sites, in fractional coordinates, are Be at (0.0000, 0.0000, 0.0000), Os at (0.5000, 0.0000, 0.5000), Rh at (0.0000, 0.5000, 0.5000) and Rh at (0.5000, 0.5000, 0.0000).

The value obtained for the total energy is -7.23 eV/atom. Its volume is 13.3 A^3/atom. Its crystal system is orthorhombic. The value obtained for the formation energy is 0.189 eV per atom. The value obtained for the theoretical density is 12.7 g/cm³.

***

# 11
This record from Alexandria via LeMat-Bulk describes a relaxed BeOsRh3 crystal. The functional is PBE.

The structure belongs to space group Pm-3m (No. 221); the cell edges are 4.6866, 4.6866 and 4.6866 Å and the angles 90.00°, 90.00° and 90.00°. The distinct sites, in fractional coordinates, are Be at (0.0000, 0.0000, 0.0000), Os at (0.5000, 0.5000, 0.5000) and Rh at (0.0000, 0.5000, 0.5000).

The value obtained for the total energy is -5.79 eV/atom. Its volume is 20.6 A^3/atom. The relative energy among the computed polymorphs comes out at 1122.9 meV per atom. Its crystal system is cubic. The value obtained for the formation energy is 1.611 eV per atom. The value obtained for the theoretical density is 8.2 g/cm³.

***

# 12
This record from Alexandria via LeMat-Bulk describes a relaxed BeOsRh2 crystal. The functional is PBE.

The structure belongs to space group P4/mmm (No. 123); the cell edges are 2.7325, 2.7325 and 6.6858 Å and the angles 90.00°, 90.00° and 90.00°. The distinct sites, in fractional coordinates, are Be at (0.0000, 0.0000, 0.0000), Os at (0.0000, 0.0000, 0.5000) and Rh at (0.5000, 0.5000, 0.2158).

The value obtained for the total energy is -7.69 eV/atom. Its volume is 12.5 A^3/atom. Its crystal system is tetragonal. The value obtained for the formation energy is -0.273 eV per atom. The value obtained for the theoretical density is 13.5 g/cm³.

***

# 13
This record from Alexandria via LeMat-Bulk describes a relaxed BeOsRh2 crystal. The functional is PBE.

The structure belongs to space group Pmmm (No. 47); the cell edges are 2.7188, 3.6897 and 5.2191 Å and the angles 90.00°, 90.00° and 90.00°. The distinct sites, in fractional coordinates, are Be at (0.0000, 0.0000, 0.0000), Os at (0.0000, 0.0000, 0.5000) and Rh at (0.5000, 0.5000, 0.2416).

The value obtained for the total energy is -7.47 eV/atom. Its volume is 13.1 A^3/atom. Its crystal system is orthorhombic. The value obtained for the formation energy is -0.055 eV per atom. The value obtained for the theoretical density is 12.8 g/cm³.

***

# 14
This record from Alexandria via LeMat-Bulk describes a relaxed Be2OsRh crystal. The functional is PBE.

The structure belongs to space group Cm (No. 8); the cell edges are 8.6160, 2.6583 and 4.1265 Å and the angles 90.00°, 107.39° and 90.00°. The distinct sites, in fractional coordinates, are Be at (0.0000, 0.0000, 0.0000), Be at (0.2342, 0.5000, 0.3394), Os at (0.2469, 0.0000, 0.8598) and Rh at (0.4863, 0.0000, 0.4769).

The value obtained for the total energy is -6.73 eV/atom. Its volume is 11.3 A^3/atom. The relative energy among the computed polymorphs comes out at 85.2 meV per atom. Its crystal system is monoclinic. The value obtained for the formation energy is -0.222 eV per atom. The value obtained for the theoretical density is 11.5 g/cm³.

***

# 15
This record from Alexandria via LeMat-Bulk describes a relaxed BeOsRh2 crystal. The functional is PBE.

The structure belongs to space group P4mm (No. 99); the cell edges are 2.7520, 2.7520 and 6.6429 Å and the angles 90.00°, 90.00° and 90.00°. The distinct sites, in fractional coordinates, are Be at (0.0000, 0.0000, 0.0000), Os at (0.5000, 0.5000, 0.2264), Rh at (0.0000, 0.0000, 0.5000) and Rh at (0.5000, 0.5000, 0.8007).

The value obtained for the total energy is -7.57 eV/atom. Its volume is 12.6 A^3/atom. Its crystal system is tetragonal. The value obtained for the formation energy is -0.155 eV per atom. The value obtained for the theoretical density is 13.4 g/cm³.

***

# 16
This record from Alexandria via LeMat-Bulk describes a relaxed BeOsRh2 crystal. The functional is PBE.

The structure belongs to space group F-43m (No. 216); the cell edges are 5.9503, 5.9503 and 5.9503 Å and the angles 90.00°, 90.00° and 90.00°. The distinct sites, in fractional coordinates, are Be at (0.0000, 0.0000, 0.0000), Os at (0.2500, 0.2500, 0.7500), Rh at (0.0000, 0.0000, 0.5000) and Rh at (0.2500, 0.2500, 0.2500).

The value obtained for the total energy is -7.24 eV/atom. Its volume is 13.2 A^3/atom. Its crystal system is cubic. The value obtained for the formation energy is 0.177 eV per atom. The value obtained for the theoretical density is 12.8 g/cm³.

***

# 17
This record from Alexandria via LeMat-Bulk describes a relaxed Be2OsRh crystal. The functional is PBE.

The structure belongs to space group P4mm (No. 99); the cell edges are 2.7752, 2.7752 and 5.7081 Å and the angles 90.00°, 90.00° and 90.00°. The distinct sites, in fractional coordinates, are Be at (0.0000, 0.0000, 0.0000), Be at (0.5000, 0.5000, 0.1903), Os at (0.0000, 0.0000, 0.4313) and Rh at (0.5000, 0.5000, 0.7635).

The value obtained for the total energy is -6.76 eV/atom. Its volume is 11.0 A^3/atom. The relative energy among the computed polymorphs comes out at 52.6 meV per atom. Its crystal system is tetragonal. The value obtained for the formation energy is -0.255 eV per atom. The value obtained for the theoretical density is 11.8 g/cm³.

***

# 18
This record from Alexandria via LeMat-Bulk describes a relaxed Be2OsRh crystal. The functional is PBE.

The structure belongs to space group P2/m (No. 10); the cell edges are 2.6405, 3.5537 and 4.9442 Å and the angles 90.00°, 90.07° and 90.00°. The distinct sites, in fractional coordinates, are Be at (0.0023, 0.0000, 0.2192), Os at (0.5000, 0.5000, 0.0000) and Rh at (0.0000, 0.5000, 0.5000).

The value obtained for the total energy is -6.65 eV/atom. Its volume is 11.6 A^3/atom. The relative energy among the computed polymorphs comes out at 169.7 meV per atom. Its crystal system is monoclinic. The value obtained for the formation energy is -0.137 eV per atom. The value obtained for the theoretical density is 11.1 g/cm³.

***

# 19
This record from Alexandria via LeMat-Bulk describes a relaxed Be2OsRh crystal. The functional is PBE.

The structure belongs to space group Cmm2 (No. 35); the cell edges are 2.7823, 4.4749 and 7.8103 Å and the angles 90.00°, 90.00° and 90.00°. The distinct sites, in fractional coordinates, are Be at (0.0000, 0.0000, 0.0000), Be at (0.0000, 0.5000, 0.2338), Os at (0.0000, 0.0000, 0.4704) and Rh at (0.0000, 0.5000, 0.7737).

The value obtained for the total energy is -6.30 eV/atom. Its volume is 12.2 A^3/atom. The relative energy among the computed polymorphs comes out at 517.0 meV per atom. Its crystal system is orthorhombic. The value obtained for the formation energy is 0.210 eV per atom. The value obtained for the theoretical density is 10.6 g/cm³.

***

# 20
This record from Alexandria via LeMat-Bulk describes a relaxed Be2OsRh crystal. The functional is PBE.

The structure belongs to space group Pm (No. 6); the cell edges are 2.7522, 3.7534 and 4.4427 Å and the angles 90.00°, 107.87° and 90.00°. The distinct sites, in fractional coordinates, are Be at (0.0000, 0.0000, 0.0000), Be at (0.1565, 0.5000, 0.3164), Os at (0.7224, 0.0000, 0.4506) and Rh at (0.4341, 0.5000, 0.8676).

The value obtained for the total energy is -6.80 eV/atom. Its volume is 10.9 A^3/atom. The relative energy among the computed polymorphs comes out at 19.9 meV per atom. Its crystal system is monoclinic. The value obtained for the formation energy is -0.287 eV per atom. The value obtained for the theoretical density is 11.8 g/cm³.